Record 1
KCd3W | PBE | optimized geometry

Energy relative to the lowest polymorph listed for this composition, meV per atom: 0
Energy relative to the elements, meV per atom: 781
Theoretical density, g/cm3: 5.6
Magnetic moment, μB/cell: 2.79

POSCAR file:
```
KCd3W
1.0
-1.339 3.465 -4.049
1.782 -3.644 -3.708
-5.023 -2.216 -0.235
K Cd W
1 3 1
direct
0.500 0.500 0.500
0.500 0.000 0.000
0.000 0.500 0.000
0.000 0.000 0.500
0.000 0.000 0.000
```

=====

Record 2
KCd2W | PBE | optimized geometry

Energy relative to the lowest polymorph listed for this composition, meV per atom: 61
Energy relative to the elements, meV per atom: 694
Theoretical density, g/cm3: 7.6
Magnetic moment, μB/cell: 0.59

POSCAR file:
```
KCd2W
1.0
-0.436 -2.802 -0.216
1.460 0.093 -4.152
7.267 -1.325 2.525
W Cd K
1 2 1
direct
0.500 0.500 0.750
0.000 0.000 0.565
0.000 0.000 0.935
0.500 0.500 0.250
```

=====

Record 3
K2CdW | PBE | optimized geometry

Energy relative to the elements, meV per atom: 1371
Theoretical density, g/cm3: 5.0
Magnetic moment, μB/cell: 4.31

POSCAR file:
```
K2CdW
1.0
5.627 -0.014 0.000
0.062 5.627 0.000
-2.845 -2.806 3.962
Cd K W
1 2 1
direct
0.750 0.250 0.500
0.250 0.750 0.500
0.000 0.000 0.000
0.500 0.500 0.000
```

=====

Record 4
KCd2W | PBE | optimized geometry

Energy relative to the lowest polymorph listed for this composition, meV per atom: 478
Energy relative to the elements, meV per atom: 1111
Theoretical density, g/cm3: 7.7
Magnetic moment, μB/cell: 2.73

POSCAR file:
```
KCd2W
1.0
0.000 3.641 3.641
3.641 0.000 3.641
3.641 3.641 0.000
Cd K W
2 1 1
direct
0.250 0.250 0.250
0.750 0.750 0.750
0.000 0.000 0.000
0.500 0.500 0.500
```

=====

Record 5
KYCd17 | PBE | optimized geometry

Energy relative to the elements, meV per atom: -81
Theoretical density, g/cm3: 7.4
Magnetic moment, μB/cell: 0.00

POSCAR file:
```
KYCd17
1.0
-4.087 1.989 6.282
-6.726 -3.252 -2.076
0.820 -6.647 3.908
Cd Y K
17 1 1
direct
0.700 0.002 0.296
0.296 0.002 0.700
0.197 0.623 0.623
0.296 0.700 0.002
0.002 0.296 0.700
0.982 0.982 0.520
0.520 0.982 0.982
0.982 0.520 0.982
0.623 0.623 0.197
0.700 0.296 0.002
0.002 0.700 0.296
0.623 0.197 0.623
0.348 0.348 0.874
0.348 0.874 0.348
0.874 0.348 0.348
0.107 0.107 0.107
0.909 0.909 0.909
0.329 0.329 0.329
0.663 0.663 0.663
```

=====

Record 6
KY2Cd2 | PBE | optimized geometry

Energy relative to the lowest polymorph listed for this composition, meV per atom: 0
Energy relative to the elements, meV per atom: -43
Theoretical density, g/cm3: 4.8
Magnetic moment, μB/cell: 0.00

POSCAR file:
```
KY2Cd2
1.0
-6.232 4.204 -5.635
-5.351 -7.721 0.158
-1.684 1.224 2.776
Y K Cd
4 2 4
direct
0.127 0.373 0.000
0.873 0.627 0.000
0.373 0.873 0.000
0.627 0.127 0.000
0.500 0.500 0.000
0.000 0.000 0.000
0.167 0.667 0.500
0.333 0.167 0.500
0.667 0.833 0.500
0.833 0.333 0.500
```